Entry 1:
K2NdCl5: optimized geometry, PBE.

Values from the calculation:
uncorrected energy	-32.61	eV per formula unit
space-group type	Cm (8)
DOS(E_F)	0.00	states/eV/f.u.

a = 5.9438 Å, b = 5.9438 Å, c = 8.4116 Å
α = 104.04°, β = 104.04°, γ = 79.89°
With the nearest neighbours (Å) after each atom.
Fractional positions:
K 0.0000 0.0000 0.0000  5 Cl 2.91-3.10
K 0.5332 0.5332 0.6603  5 Cl 3.23-3.29
Nd 0.7393 0.7393 0.2759  5 Cl 2.71-2.79
Cl 0.2946 0.7907 0.3434  1 Nd 2.79
Cl 0.4969 0.9232 0.0001  1 Nd 2.78, 2 K 2.91-3.10
Cl 0.7907 0.2946 0.3434  1 Nd 2.79
Cl 0.8714 0.8714 0.6135  1 Nd 2.71
Cl 0.9232 0.4969 0.0001  1 Nd 2.78, 2 K 2.91-3.10

=====

Entry 2:
LiTi2Rh: optimized geometry, PBE.

Values from the calculation:
energy relative to the elements	0.045	eV/atom
uncorrected energy	-24.87	eV per formula unit
space-group type	I-42d (122)
DOS(E_F)	1.28	states/eV/f.u.

a = 5.6437 Å, b = 5.6437 Å, c = 5.6437 Å
α = 102.77°, β = 102.77°, γ = 123.91°
With the nearest neighbours (Å) after each atom.
Fractional positions:
Li 0.0000 0.0000 0.0000  2 Rh 2.65, 4 Ti 2.72
Li 0.7500 0.2500 0.5000  2 Rh 2.65, 4 Ti 2.72
Ti 0.1536 0.6250 0.0286  2 Rh 2.44, 2 Ti 2.68, 2 Li 2.72
Ti 0.3750 0.4036 0.5286  2 Rh 2.44, 2 Ti 2.68, 2 Li 2.72
Ti 0.5964 0.1250 0.9714  2 Rh 2.44, 2 Ti 2.68, 2 Li 2.72
Ti 0.8750 0.8464 0.4714  2 Rh 2.44, 2 Ti 2.68, 2 Li 2.72
Rh 0.2500 0.7500 0.5000  4 Ti 2.44, 2 Li 2.65
Rh 0.5000 0.5000 0.0000  4 Ti 2.44, 2 Li 2.65

=====

Entry 3:
Ce3Al2Au4: optimized geometry, PBE.

Values from the calculation:
energy relative to the elements	-0.693	eV/atom
uncorrected energy	-44.63	eV per formula unit
space-group type	C2/m (12)
DOS(E_F)	16.89	states/eV/f.u.

a = 5.9672 Å, b = 5.9672 Å, c = 8.7914 Å
α = 113.42°, β = 113.42°, γ = 45.67°
With the nearest neighbours (Å) after each atom.
Fractional positions:
Ce 0.0000 0.0000 0.0000  8 Au 3.18-3.43, 4 Al 3.49
Ce 0.3627 0.3627 0.3221  8 Au 3.13-3.41, 4 Al 3.21-3.25, 1 Ce 3.28
Ce 0.6373 0.6373 0.6779  8 Au 3.13-3.41, 4 Al 3.21-3.25, 1 Ce 3.28
Al 0.3446 0.3446 0.6774  4 Au 2.59-2.81
Al 0.6554 0.6554 0.3226  4 Au 2.59-2.81
Au 0.0868 0.0868 0.4053  3 Al 2.63-2.81
Au 0.2841 0.2841 0.9311  1 Al 2.59, 2 Au 2.86
Au 0.7159 0.7159 0.0689  1 Al 2.59, 2 Au 2.86
Au 0.9132 0.9132 0.5947  3 Al 2.63-2.81